Here is an optimized crystal structure of Ta2GeO4 from OQMD. Energies are from PBE.

Unit cell a=6.3077 b=6.3077 c=6.3077 alpha=120.00 beta=90.01 gamma=120.00
With the nearest neighbours (Å) after each atom.
Positions (direct):
O: 0.1333 0.2668 0.4000  1 Ge 2.06, 3 Ta 2.16
O: 0.6165 0.2332 0.3833  1 Ge 2.06, 3 Ta 2.16
O: 0.6167 0.7668 0.3835  1 Ge 2.06, 3 Ta 2.16
O: 0.1333 0.7332 0.8665  1 Ge 2.06, 3 Ta 2.16
O: 0.1335 0.2668 0.8667  1 Ge 2.06, 3 Ta 2.16
O: 0.6167 0.2332 0.8500  1 Ge 2.06, 3 Ta 2.16
O: 0.6000 0.7332 0.8667  1 Ge 2.06, 3 Ta 2.16
O: 0.1500 0.7668 0.3833  1 Ge 2.06, 3 Ta 2.16
Ge: 0.7500 0.5000 0.2500  4 O 2.06
Ge: 0.0000 0.0000 0.0000  4 O 2.06
Ta: 0.3750 0.7500 0.6250  6 O 2.16
Ta: 0.3750 0.7500 0.1250  6 O 2.16
Ta: 0.3750 0.2500 0.6250  6 O 2.16
Ta: 0.8750 0.2500 0.6250  6 O 2.16

**Spin magnetization**: 0.00 μB per formula unit
**Total energy**: -8.4150 eV/atom
**Calculated volume**: 177.5 Å³/cell